Entry 1:
DFT (GGA-PBE) results for a relaxed structure of Li2GaI3.

Cell: 4.6097 7.4532 13.4213 Å, 107.56 99.89 90.00°
Closest atoms and distances in Å follow each position.
Positions (direct):
Li 0.7037 0.3967 0.4074  4 I 2.76-2.79
Li 0.2963 0.6033 0.5926  4 I 2.76-2.79
Li 0.0540 0.2236 0.1080  4 I 2.78-2.82
Li 0.9460 0.7764 0.8920  4 I 2.78-2.82
Ga 0.6393 0.8595 0.2785  3 I 3.15-3.19
Ga 0.3607 0.1405 0.7215  3 I 3.15-3.19
I 0.7712 0.7671 0.5425  3 Li 2.78-2.79
I 0.9427 0.1474 0.8854  2 Li 2.79-2.82
I 0.6005 0.4099 0.2010  3 Li 2.76-2.78
I 0.2288 0.2329 0.4575  3 Li 2.78-2.79
I 0.3995 0.5901 0.7990  3 Li 2.76-2.78
I 0.0573 0.8526 0.1146  2 Li 2.79-2.82

**SG**: No. 12
**Crystal system**: monoclinic

---

Entry 2:
DFT (GGA-PBE) results for a relaxed structure of LiGaI3.

Cell: 7.3955 9.0617 12.5715 Å, 90.00 89.10 90.00°
Closest atoms and distances in Å follow each position.
Positions (direct):
Li 0.0324 0.7549 0.2561  4 I 2.77-3.02
Li 0.4676 0.2549 0.2439  4 I 2.77-3.02
Li 0.9676 0.2451 0.7439  4 I 2.77-3.02
Li 0.5324 0.7451 0.7561  4 I 2.77-3.02
Ga 0.5088 0.6172 0.0478  1 Ga 2.45, 3 I 2.63-2.69
Ga 0.9912 0.1172 0.4522  1 Ga 2.45, 3 I 2.63-2.69
Ga 0.4912 0.3828 0.9522  1 Ga 2.45, 3 I 2.63-2.69
Ga 0.0088 0.8828 0.5478  1 Ga 2.45, 3 I 2.63-2.69
I 0.3411 0.7845 0.5691  1 Ga 2.63, 1 Li 2.79
I 0.1589 0.2845 0.9309  1 Ga 2.63, 1 Li 2.79
I 0.6589 0.2155 0.4309  1 Ga 2.63, 1 Li 2.79
I 0.8411 0.7155 0.0691  1 Ga 2.63, 1 Li 2.79
I 0.8584 0.9244 0.7414  1 Ga 2.69, 1 Li 2.91
I 0.6416 0.4244 0.7586  1 Ga 2.69, 1 Li 2.91
I 0.1416 0.0756 0.2586  1 Ga 2.69, 1 Li 2.91
I 0.3584 0.5756 0.2414  1 Ga 2.69, 1 Li 2.91
I 0.8406 0.6779 0.4392  1 Ga 2.63, 1 Li 2.77
I 0.6594 0.1779 0.0607  1 Ga 2.63, 1 Li 2.77
I 0.1594 0.3221 0.5607  1 Ga 2.63, 1 Li 2.77
I 0.3406 0.8221 0.9392  1 Ga 2.63, 1 Li 2.77

**Excess energy over the best structure of this formula in the dataset**: 14 meV per atom
**SG**: No. 14
**Crystal system**: monoclinic

---

Entry 3:
DFT (GGA-PBE) results for a relaxed structure of LiGaI2.

Cell: 4.4096 4.4097 22.8117 Å, 90.00 90.00 60.00°
Closest atoms and distances in Å follow each position.
Positions (direct):
Li 0.0029 0.0000 0.1667  6 I 3.04-3.05
Li 0.9971 0.0029 0.8333  6 I 3.04-3.05
Li 0.0000 0.9971 0.5000  6 I 3.04-3.05
Ga 0.0000 0.0009 0.0000  6 I 3.31-3.32
Ga 0.0008 0.9991 0.3333  6 I 3.31-3.32
Ga 0.9992 0.0000 0.6667  6 I 3.31-3.32
I 0.3318 0.3357 0.9068  3 Li 3.04-3.05, 3 Ga 3.31-3.32
I 0.3325 0.3318 0.5735  3 Li 3.04-3.05, 3 Ga 3.31-3.32
I 0.3356 0.3325 0.2402  3 Li 3.04-3.05, 3 Ga 3.31-3.32
I 0.6675 0.6643 0.4265  3 Li 3.04-3.05, 3 Ga 3.31-3.32
I 0.6682 0.6675 0.0932  3 Li 3.04-3.05, 3 Ga 3.31-3.32
I 0.6644 0.6681 0.7598  3 Li 3.04-3.05, 3 Ga 3.31-3.32

**Excess energy over the best structure of this formula in the dataset**: 6 meV per atom
**SG**: No. 154
**Crystal system**: trigonal

---

no.,total energy (eV per atom),raw formation energy (eV/atom)
1,-2.81,-0.89
2,-2.67,-0.75
3,-2.75,-0.74